Entry from Alexandria: an optimized crystal structure of TbPS4 (GGA-PBEsol).

a b c (Å): 10.5969 12.0301 10.5969
angles (deg): 116.13 90.00 116.13
Element x y z (fractional)
S 0.7818 0.0697 0.6024
S 0.8524 0.5697 0.0379
S 0.5120 0.7448 0.4582
S 0.7134 0.2552 0.4880
S 0.4682 0.4303 0.1476
S 0.5366 0.2448 0.2620
S 0.5418 0.2552 0.7672
S 0.3524 0.5697 0.0318
S 0.2328 0.7448 0.2866
S 0.7173 0.5697 0.5318
S 0.7328 0.7448 0.9582
S 0.2380 0.7552 0.9634
S 0.7082 0.2448 0.9828
S 0.2879 0.0697 0.4673
S 0.8976 0.9303 0.7182
S 0.5172 0.7552 0.7918
S 0.0327 0.9303 0.2121
S 0.0366 0.2448 0.4828
S 0.5327 0.9303 0.2182
S 0.9682 0.4303 0.7827
S 0.0172 0.7552 0.4634
S 0.2082 0.2448 0.7620
S 0.9621 0.4303 0.2827
S 0.2173 0.5697 0.5379
S 0.7380 0.7552 0.2918
S 0.4621 0.4303 0.6476
S 0.0120 0.7448 0.7866
S 0.2134 0.2552 0.2672
S 0.0418 0.2552 0.9880
S 0.3976 0.9303 0.7121
S 0.7879 0.0697 0.1024
S 0.2818 0.0697 0.9673
Tb 0.0000 0.0000 0.5000
Tb 0.5000 0.0000 0.0000
Tb 0.2500 0.5000 0.2500
Tb 0.7500 0.5000 0.2500
Tb 0.2500 0.5000 0.7500
Tb 0.7500 0.5000 0.7500
Tb 0.0000 0.0000 0.0000
Tb 0.5000 0.0000 0.5000
P 0.9136 0.7500 0.6250
P 0.8750 0.2500 0.5864
P 0.3364 0.7500 0.1250
P 0.3750 0.2500 0.6636
P 0.4136 0.7500 0.6250
P 0.8364 0.7500 0.1250
P 0.3750 0.2500 0.1636
P 0.8750 0.2500 0.0864

Output
- total magnetization (μB per formula unit) = 0.0
- uncorrected formation energy (eV per atom) = -1.075

Entry from Alexandria: an optimized crystal structure of Pt2PbCl (GGA-PBEsol).

a b c (Å): 4.6765 4.6765 4.6765
angles (deg): 60.00 60.00 60.00
Element x y z (fractional)
Cl 0.0000 0.0000 0.0000
Pt 0.2500 0.2500 0.2500
Pt 0.7500 0.7500 0.7500
Pb 0.5000 0.5000 0.5000

Output
- total magnetization (μB per formula unit) = 0.0
- energy above the lowest structure with this stoichiometry (eV/atom) = 0.227
- uncorrected formation energy (eV per atom) = 0.316

Entry from Alexandria: an optimized crystal structure of InCuP2 (GGA-PBEsol).

a b c (Å): 4.0896 4.4203 4.4203
angles (deg): 108.26 105.25 105.25
Element x y z (fractional)
P 0.0000 0.5000 0.0000
P 0.0000 0.0000 0.5000
In 0.5000 0.5000 0.5000
Cu 0.5000 0.0000 0.0000

Output
- total magnetization (μB per formula unit) = 0.0
- energy relative to the elements (meV per atom) = 282